[1]
This record from the Alexandria database describes a geometry-optimized HfCd4Pd5 structure. The functional is PBE-GGA.

abc: 3.418 3.418 15.171
angles: 90.00 90.00 90.00
Atoms (fractional coordinates):
Hf1 0.000 0.000 0.000
Cd1 0.000 0.000 0.202
Cd2 0.000 0.000 0.400
Cd3 0.000 0.000 0.600
Cd4 0.000 0.000 0.798
Pd1 0.500 0.500 0.096
Pd2 0.500 0.500 0.300
Pd3 0.500 0.500 0.500
Pd4 0.500 0.500 0.700
Pd5 0.500 0.500 0.904

Summary:
For the density of states at the Fermi level, the calculation gives 0.41 states/eV/atom. The magnetization is 0.000 μB per atom. The calculation puts the final energy at -44.4 eV for the cell shown. The calculation puts the formation energy from the elements at -480 meV/atom.


[2]
This record from the Alexandria database describes a geometry-optimized HfCd4Pd2 structure. The functional is PBE-GGA.

abc: 7.858 7.858 7.858
angles: 140.10 140.10 57.70
Atoms (fractional coordinates):
Hf1 0.000 0.000 0.000
Cd1 0.000 0.500 0.500
Cd2 0.212 0.212 0.000
Cd3 0.500 0.000 0.500
Cd4 0.788 0.788 0.000
Pd1 0.405 0.405 0.000
Pd2 0.595 0.595 0.000

Summary:
For the density of states at the Fermi level, the calculation gives 0.85 states/eV/atom. The magnetization is 0.000 μB per atom. The calculation puts the final energy at -19.7 eV for the cell shown. The calculation puts the formation energy from the elements at 618 meV/atom.


[3]
This record from the Alexandria database describes a geometry-optimized HfCd2Pd9 structure. The functional is PBE-GGA.

abc: 4.008 4.008 12.201
angles: 90.00 90.00 90.00
Atoms (fractional coordinates):
Hf1 0.000 0.000 0.000
Cd1 0.000 0.000 0.334
Cd2 0.000 0.000 0.666
Pd1 0.000 0.500 0.161
Pd2 0.000 0.500 0.500
Pd3 0.000 0.500 0.839
Pd4 0.500 0.000 0.161
Pd5 0.500 0.000 0.500
Pd6 0.500 0.000 0.839
Pd7 0.500 0.500 0.000
Pd8 0.500 0.500 0.329
Pd9 0.500 0.500 0.671

Summary:
For the density of states at the Fermi level, the calculation gives 1.05 states/eV/atom. The magnetization is 0.000 μB per atom. The calculation puts the final energy at -64.1 eV for the cell shown. The calculation puts the formation energy from the elements at -466 meV/atom.


[4]
This record from the Alexandria database describes a geometry-optimized HfCd2Pd2 structure. The functional is PBE-GGA.

abc: 8.235 8.235 8.235
angles: 155.89 155.89 34.36
Atoms (fractional coordinates):
Hf1 0.000 0.000 0.000
Cd1 0.194 0.194 0.000
Cd2 0.806 0.806 0.000
Pd1 0.408 0.408 0.000
Pd2 0.592 0.592 0.000

Summary:
For the density of states at the Fermi level, the calculation gives 0.28 states/eV/atom. The magnetization is 0.000 μB per atom. The calculation puts the final energy at -24.7 eV for the cell shown. The calculation puts the formation energy from the elements at -510 meV/atom.


[5]
This record from the Alexandria database describes a geometry-optimized Hf2CdPd structure. The functional is PBE-GGA.

abc: 3.375 3.375 6.959
angles: 90.00 90.00 90.00
Atoms (fractional coordinates):
Hf1 0.000 0.000 0.228
Hf2 0.000 0.000 0.772
Cd1 0.500 0.500 0.500
Pd1 0.500 0.500 0.000

Summary:
For the density of states at the Fermi level, the calculation gives 0.88 states/eV/atom. The magnetization is 0.000 μB per atom. The calculation puts the final energy at -27.0 eV for the cell shown. The calculation puts the formation energy from the elements at -258 meV/atom.


[6]
This record from the Alexandria database describes a geometry-optimized HfCdPd5 structure. The functional is PBE-GGA.

abc: 4.483 4.483 6.265
angles: 90.00 90.00 90.00
Atoms (fractional coordinates):
Hf1 0.000 0.000 0.000
Cd1 0.500 0.500 0.500
Pd1 0.000 0.000 0.500
Pd2 0.000 0.500 0.231
Pd3 0.000 0.500 0.769
Pd4 0.500 0.000 0.231
Pd5 0.500 0.000 0.769

Summary:
For the density of states at the Fermi level, the calculation gives 0.39 states/eV/atom. The magnetization is 0.000 μB per atom. The calculation puts the final energy at -39.3 eV for the cell shown. The calculation puts the formation energy from the elements at -353 meV/atom.


[7]
This record from the Alexandria database describes a geometry-optimized HfCdPd2 structure. The functional is PBE-GGA.

abc: 8.432 8.432 8.432
angles: 22.54 22.54 22.54
Atoms (fractional coordinates):
Hf1 0.000 0.000 0.000
Cd1 0.167 0.167 0.167
Pd1 0.411 0.411 0.411
Pd2 0.589 0.589 0.589

Summary:
For the density of states at the Fermi level, the calculation gives 0.45 states/eV/atom. The magnetization is 0.000 μB per atom. The calculation puts the final energy at -22.9 eV for the cell shown. The calculation puts the formation energy from the elements at -417 meV/atom.


[8]
This record from the Alexandria database describes a geometry-optimized HfCd2Pd4 structure. The functional is PBE-GGA.

abc: 8.206 8.206 8.206
angles: 151.02 151.02 41.45
Atoms (fractional coordinates):
Hf1 0.000 0.000 0.000
Cd1 0.256 0.256 0.000
Cd2 0.744 0.744 0.000
Pd1 0.114 0.614 0.500
Pd2 0.386 0.886 0.500
Pd3 0.614 0.114 0.500
Pd4 0.886 0.386 0.500

Summary:
For the density of states at the Fermi level, the calculation gives 0.32 states/eV/atom. The magnetization is 0.000 μB per atom. The calculation puts the final energy at -35.4 eV for the cell shown. The calculation puts the formation energy from the elements at -406 meV/atom.